(1)
# CsLaZrS4

Crystalline CsLaZrS4 at its relaxed geometry (GGA-PBE, Alexandria).

Cell: 7.2173 7.1295 9.7066 Å, 90.00 108.44 90.00°
Last column: nearest neighbours and their distance in Å.
Space group P2_1/m (No. 11)
Inequivalent atoms, fractional coordinates:
Cs (0.2220, 0.2500, 0.4395) (multiplicity 2)  2 S 3.43-3.53
La (0.2905, 0.2500, 0.9498) (multiplicity 2)  6 S 2.92-2.98
Zr (0.2558, 0.7500, 0.1630) (multiplicity 2)  4 S 2.37-2.44
S (0.0336, 0.7500, 0.9241) (multiplicity 2)  1 Zr 2.37
S (0.0494, 0.7500, 0.3147) (multiplicity 2)  1 Zr 2.40
S (0.4922, 0.0025, 0.1903) (multiplicity 4)  1 Zr 2.44

M_tot, μB per cell: 0.00
Density of states at the Fermi level, states/eV/atom: 0.00
Uncorrected formation energy, eV/atom: -1.70

=====

(2)
# CaZrAu2N

Crystalline CaZrAu2N at its relaxed geometry (GGA-PBE, Alexandria).

Cell: 4.9073 4.9073 4.1852 Å, 90.00 90.00 90.00°
Last column: nearest neighbours and their distance in Å.
Space group P4/mmm (No. 123)
Inequivalent atoms, fractional coordinates:
Ca (0.0000, 0.0000, 0.0000) (multiplicity 1)  8 Au 3.22, 4 Zr 3.47
Zr (0.5000, 0.5000, 0.0000) (multiplicity 1)  2 N 2.09
Au (0.0000, 0.5000, 0.5000) (multiplicity 2)  2 N 2.45
N (0.5000, 0.5000, 0.5000) (multiplicity 1)  2 Zr 2.09

M_tot, μB per cell: 0.00
Density of states at the Fermi level, states/eV/atom: 0.73
Uncorrected formation energy, eV/atom: -0.17

=====

(3)
# LaCeDy2

Crystalline LaCeDy2 at its relaxed geometry (GGA-PBE, Alexandria).

Cell: 3.4609 3.4609 37.0458 Å, 90.00 90.00 120.00°
Last column: nearest neighbours and their distance in Å.
Space group R-3m (No. 166, hexagonal axes)
Inequivalent atoms, fractional coordinates:
La (0.0000, 0.0000, 0.0000) (multiplicity 3)  2 Dy 3.41, 6 La 3.46
Ce (0.0000, 0.0000, 0.5000) (multiplicity 3)  6 Dy 3.41, 6 Ce 3.46
Dy (0.0000, 0.0000, 0.0919) (multiplicity 6)  1 La 3.41, 3 Ce 3.41, 6 Dy 3.46

M_tot, μB per cell: 0.32
Density of states at the Fermi level, states/eV/atom: 1.86
Excess energy over the best structure of this formula in the dataset, eV per formula unit: 0.35
Formation energy from the elements, eV per atom: 0.15

=====

(4)
# ScTlAs

Crystalline ScTlAs at its relaxed geometry (GGA-PBE, Alexandria).

Cell: 6.8505 6.8505 6.8505 Å, 90.00 90.00 90.00°
Last column: nearest neighbours and their distance in Å.
Space group F-43m (No. 216)
Inequivalent atoms, fractional coordinates:
Sc (0.0000, 0.0000, 0.0000) (multiplicity 4)  4 As 2.97
Tl (0.0000, 0.0000, 0.5000) (multiplicity 4)  4 As 2.97
As (0.2500, 0.2500, 0.7500) (multiplicity 4)  4 Tl 2.97, 4 Sc 2.97

M_tot, μB per cell: 0.00
Density of states at the Fermi level, states/eV/atom: 1.23
Excess energy over the best structure of this formula in the dataset, eV per formula unit: 1.07
Formation energy from the elements, eV per atom: -0.18

=====

(5)
# Y3ZrMn

Crystalline Y3ZrMn at its relaxed geometry (GGA-PBE, Alexandria).

Cell: 5.1890 5.1890 5.1890 Å, 90.00 90.00 90.00°
Last column: nearest neighbours and their distance in Å.
Space group Pm-3m (No. 221)
Inequivalent atoms, fractional coordinates:
Y (0.0000, 0.0000, 0.5000) (multiplicity 3)  2 Mn 2.59
Zr (0.5000, 0.5000, 0.5000) (multiplicity 1)  12 Y 3.67
Mn (0.0000, 0.0000, 0.0000) (multiplicity 1)  6 Y 2.59

M_tot, μB per cell: 2.13
Density of states at the Fermi level, states/eV/atom: 1.18
Excess energy over the best structure of this formula in the dataset, eV per formula unit: 0.00
Formation energy from the elements, eV per atom: 0.49

=====

(6)
# NbAlPt6

Crystalline NbAlPt6 at its relaxed geometry (GGA-PBE, Alexandria).

Cell: 3.9708 3.9708 7.9070 Å, 90.00 90.00 90.00°
Last column: nearest neighbours and their distance in Å.
Space group P4/mmm (No. 123)
Inequivalent atoms, fractional coordinates:
Nb (0.0000, 0.0000, 0.0000) (multiplicity 1)  12 Pt 2.80-2.81
Al (0.0000, 0.0000, 0.5000) (multiplicity 1)  12 Pt 2.81
Pt (0.0000, 0.5000, 0.2493) (multiplicity 4)  2 Nb 2.80, 8 Pt 2.80-2.81, 2 Al 2.81
Pt (0.5000, 0.5000, 0.0000) (multiplicity 1)  8 Pt 2.80, 4 Nb 2.81
Pt (0.5000, 0.5000, 0.5000) (multiplicity 1)  8 Pt 2.81, 4 Al 2.81

M_tot, μB per cell: 0.00
Density of states at the Fermi level, states/eV/atom: 0.30
Formation energy from the elements, eV per atom: -0.69

=====

(7)
# TeSe2

Crystalline TeSe2 at its relaxed geometry (GGA-PBE, Alexandria).

Cell: 6.8969 3.9865 7.0810 Å, 90.00 108.55 90.00°
Last column: nearest neighbours and their distance in Å.
Space group C2/m (No. 12)
Inequivalent atoms, fractional coordinates:
Te (0.0000, 0.0000, 0.0000) (multiplicity 2)  6 Se 2.84
Se (0.2473, 0.5000, 0.2477) (multiplicity 4)  3 Te 2.84

M_tot, μB per cell: 0.00
Density of states at the Fermi level, states/eV/atom: 0.11
Uncorrected formation energy, eV/atom: -0.01
Excess energy over the best structure of this formula in the dataset, eV per formula unit: 0.01

=====

(8)
# Tb6Er4Sc

Crystalline Tb6Er4Sc at its relaxed geometry (GGA-PBE, Alexandria).

Cell: 6.4855 6.4855 16.9070 Å, 90.00 90.00 90.00°
Last column: nearest neighbours and their distance in Å.
Space group I-42m (No. 121)
Inequivalent atoms, fractional coordinates:
Tb (0.0000, 0.5000, 0.0000) (multiplicity 4)  2 Sc 3.24, 4 Er 3.25
Tb (0.1859, 0.1859, 0.1724) (multiplicity 8)  5 Er 3.32-3.47, 1 Sc 3.38, 1 Tb 3.41
Er (0.1794, 0.1794, 0.3689) (multiplicity 8)  7 Tb 3.25-3.47, 1 Er 3.29
Sc (0.0000, 0.0000, 0.0000) (multiplicity 2)  8 Tb 3.24-3.38

M_tot, μB per cell: 0.00
Density of states at the Fermi level, states/eV/atom: 1.25
Excess energy over the best structure of this formula in the dataset, eV per formula unit: 1.82
Formation energy from the elements, eV per atom: 0.30

=====

Number 1: calculated density 3.444 Mg/m³. Number 2: calculated density 8.884 Mg/m³. Number 3: calculated density 7.830 Mg/m³. Number 4: calculated density 6.700 Mg/m³. Number 5: calculated density 4.907 Mg/m³. Number 6: calculated density 17.187 Mg/m³. Number 7: calculated density 5.137 Mg/m³. Number 8: calculated density 7.788 Mg/m³.